Entry from the Alexandria database: a geometry-optimized ZrCuBi3 structure (GGA-PBE).

Cell: 5.212 5.212 5.212 Å, 90.00 90.00 90.00°
Element x y z (fractional)
Bi (0.000, 0.000, 0.500)
Bi (0.500, 0.000, 0.000)
Bi (0.000, 0.500, 0.000)
Cu (0.000, 0.000, 0.000)
Zr (0.500, 0.500, 0.500)

Properties
For the magnetization, the calculation gives 0.000 μB per atom. As for the formation enthalpy at 0 K: 0.530 eV per atom. For the polymorph energy (0 for the lowest one), the calculation gives 0 meV/atom.